# PrTm2ReN4, relaxed, DFT PBE
data_PrTm2ReN4
_cell_length_a 3.456
_cell_length_b 6.084
_cell_length_c 11.496
_cell_angle_alpha 90.00
_cell_angle_beta 90.00
_cell_angle_gamma 106.50
_symmetry_space_group_name_H-M 'P 1'
_symmetry_Int_Tables_number 1
loop_
_symmetry_equiv_pos_as_xyz
'x,y,z'
loop_
_atom_site_label
_atom_site_type_symbol
_atom_site_fract_x
_atom_site_fract_y
_atom_site_fract_z
_atom_site_occupancy
N1 N 0.261 0.522 0.123 1
N2 N 0.439 0.877 0.750 1
N3 N 0.739 0.478 0.877 1
N4 N 0.261 0.522 0.377 1
N5 N 0.739 0.478 0.623 1
N6 N 0.561 0.123 0.250 1
N7 N 0.000 0.000 0.000 1
N8 N 0.000 0.000 0.500 1
Pr1 Pr 0.115 0.231 0.750 1
Pr2 Pr 0.885 0.769 0.250 1
Tm1 Tm 0.631 0.262 0.461 1
Tm2 Tm 0.369 0.738 0.539 1
Tm3 Tm 0.369 0.738 0.961 1
Tm4 Tm 0.631 0.262 0.039 1
Re1 Re 0.854 0.709 0.750 1
Re2 Re 0.146 0.291 0.250 1
# Uncorrected formation energy ... -1074.9 meV per atom
# Final energy ... -8.509 eV per atom